*1*
Material: Li2Cu3F8
Method: DFT, PBE
State: optimized geometry

The structure in extended XYZ format:
```
26
Lattice="-1.3990 -0.8184 5.9236 4.0081 -3.9217 -2.5042 6.8440 5.6185 2.3221" Properties=species:S:1:pos:R:3 pbc="T T T"
Li 8.4756 2.2182 2.4329
Li 0.6691 -1.7999 3.2337
Li 3.2390 0.4504 4.1003
Li 5.8673 -0.0101 1.6264
F 0.6406 -0.7450 4.9042
F 6.7605 2.0871 6.5580
F 6.5563 -0.0204 3.4101
F 7.1428 2.8339 3.7168
F 5.3414 4.2541 5.1055
F 7.5615 0.0561 0.6117
F 4.9427 -2.4889 4.1920
F 4.6106 -0.0998 -0.2503
F 8.4512 0.2707 5.2181
F 4.6954 1.5562 4.8596
F 3.8681 -0.0599 2.3261
F 5.4172 2.3483 1.6435
F 5.8175 -2.1449 1.5331
F 1.1930 -0.0005 1.7329
F 3.2805 -2.4050 0.5702
F 2.4677 -2.4471 3.2881
Cu 5.3279 3.3377 3.3361
Cu 6.6010 0.9186 5.0419
Cu 4.8178 -2.0426 -0.6090
Cu 4.1286 -2.4357 2.4007
Cu 4.5475 2.8858 6.3071
Cu 2.8571 -0.0174 0.6926
```

Summary:
Space group: No. 9
Total moment, μB/f.u.: 3.000

=====

*2*
Material: Li2Cu3F8
Method: DFT, PBE
State: optimized geometry

The structure in extended XYZ format:
```
52
Lattice="8.4930 0.0000 0.0000 0.0000 8.4930 0.0000 0.0000 0.0000 8.4930" Properties=species:S:1:pos:R:3 pbc="T T T"
Cu 1.2452 0.8781 5.3081
Cu 3.0013 7.6149 1.0616
Cu 7.4314 7.2478 5.1246
Cu 5.3081 1.2452 0.8781
Cu 0.8781 5.3081 1.2452
Cu 3.3684 3.1849 5.4916
Cu 7.6149 1.0616 3.0013
Cu 5.1246 7.4314 7.2478
Cu 7.2478 5.1246 7.4314
Cu 1.0616 3.0013 7.6149
Cu 3.1849 5.4916 3.3684
Cu 5.4916 3.3684 3.1849
F 7.3716 5.3520 0.8996
F 3.3419 3.3419 3.3419
F 1.2186 3.0279 5.4651
F 5.3520 0.8996 7.3716
F 1.0019 7.2694 1.0178
F 0.8996 7.3716 5.3520
F 1.0178 1.0019 7.2694
F 5.3679 3.1410 5.1461
F 1.2236 5.2643 3.2446
F 7.4911 3.0229 3.2287
F 7.2744 7.2744 7.2744
F 3.2287 7.4911 3.0229
F 5.2643 3.2446 1.2236
F 3.0279 5.4651 1.2186
F 7.3875 7.5934 3.1251
F 0.9046 5.1511 7.5884
F 3.1410 5.1461 5.3679
F 1.1055 3.3469 1.1214
F 3.2446 1.2236 5.2643
F 5.4651 1.2186 3.0279
F 5.2484 5.4701 7.4752
F 5.4701 7.4752 5.2484
F 5.1461 5.3679 3.1410
F 1.1214 1.1055 3.3469
F 3.0229 3.2287 7.4911
F 5.1511 7.5884 0.9046
F 7.5934 3.1251 7.3875
F 7.2694 1.0178 1.0019
F 7.4752 5.2484 5.4701
F 3.3469 1.1214 1.1055
F 7.5884 0.9046 5.1511
F 3.1251 7.3875 7.5934
Li 0.1094 4.1371 4.3559
Li 4.1371 4.3559 0.1094
Li 6.4791 2.0139 6.2604
Li 6.2604 6.4791 2.0139
Li 2.0139 6.2604 6.4791
Li 2.2326 2.2326 2.2326
Li 8.3836 8.3836 8.3836
Li 4.3559 0.1094 4.1371
```

Summary:
Space group: No. 212
Total moment, μB/f.u.: 3.000

=====

*3*
Material: Li2Cu3F8
Method: DFT, PBE
State: optimized geometry

The structure in extended XYZ format:
```
13
Lattice="5.2390 -0.1486 -0.1064 2.4543 5.5846 0.1787 2.2303 2.0790 5.4828" Properties=species:S:1:pos:R:3 pbc="T T T"
Li 6.1148 6.9046 5.3009
Li 3.8087 0.6105 0.2542
F 2.7140 1.6682 3.5500
F 5.9399 2.7633 2.2930
F 7.0821 3.9418 4.6307
F 7.2095 5.8469 2.0052
F 3.9836 4.7518 3.2622
F 7.9821 6.4845 5.2006
F 2.8415 3.5732 0.9245
F 1.9415 1.0305 0.3545
Cu 1.2271 2.7923 0.0894
Cu 2.3423 3.8318 2.8308
Cu 1.1151 1.0395 2.7414
```

Summary:
Space group: No. 2
Total moment, μB/f.u.: 3.040

=====

Which structure is the most stable? The one labeled *3*.

=====

*1*
Material: LiCu3F
Method: DFT, PBE
State: optimized geometry

The structure in extended XYZ format:
```
5
Lattice="-4.2002 0.2016 -0.2635 -0.3180 -1.4931 3.9270 0.0945 3.9347 1.5037" Properties=species:S:1:pos:R:3 pbc="T T T"
Cu -0.1590 -0.7466 1.9635
Cu 0.0473 1.9673 0.7518
Cu -2.1001 0.1008 -0.1318
F 0.0000 0.0000 0.0000
Li -2.2118 1.3216 2.5836
```

Summary:
Space group: No. 221
Total moment, μB/f.u.: 0.000

=====

*2*
Material: LiCu3F
Method: DFT, PBE
State: optimized geometry

The structure in extended XYZ format:
```
5
Lattice="-0.0611 3.5722 -2.1596 1.3181 -2.0328 -3.3998 -3.9607 -0.7316 -1.0981" Properties=species:S:1:pos:R:3 pbc="T T T"
Cu 0.6590 -1.0164 -1.6999
Cu -0.0306 1.7861 -1.0798
Cu -1.9803 -0.3658 -0.5490
Li 0.0000 0.0000 0.0000
F -1.3519 0.4039 -3.3287
```

Summary:
Space group: No. 221
Total moment, μB/f.u.: 0.000

=====

Which structure is the most stable? The one labeled *1*.